# 1
## PrNdMgSc (PBE)

Data for PrNdMgSc after structural relaxation.

The space group is No. 99. The value obtained for the energy above the most stable polymorph in this dataset is 0.0 meV/atom. For the formation energy, the calculation gives -6 meV/atom. The total energy comes out at -4.37 eV per atom.

Cell: 3.731 3.731 8.610 Å, 90.00 90.00 90.00°
Site moments in Bohr magnetons follow the coordinates.
Element x y z (fractional)
Pr (0.000, 0.000, 0.359)  0.04
Nd (0.000, 0.000, 0.854)  0.04
Mg (0.500, 0.500, 0.609)  0.00
Sc (0.500, 0.500, 0.106)  0.10

***

# 2
## PrNdMgSc (PBE)

Data for PrNdMgSc after structural relaxation.

The space group is No. 216. The value obtained for the energy above the most stable polymorph in this dataset is 17.7 meV/atom. For the formation energy, the calculation gives 11 meV/atom. The total energy comes out at -4.36 eV per atom.

Cell: 5.516 5.516 5.516 Å, 60.00 60.00 60.00°
Element x y z (fractional)
Pr (0.750, 0.750, 0.750)
Sc (0.000, 0.000, 0.000)
Mg (0.500, 0.500, 0.500)
Nd (0.250, 0.250, 0.250)

***

# 3
## Pr3Nd3MgSe8 (PBE)

Data for Pr3Nd3MgSe8 after structural relaxation.

The space group is No. 166. The total energy comes out at -5.66 eV per atom. The uncorrected formation energy comes out at -1.79 eV/atom.

Cell: 8.434 8.433 8.451 Å, 119.93 90.00 120.00°
Element x y z (fractional)
Pr (0.000, 0.000, 0.000)
Pr (0.000, 0.500, 0.000)
Pr (0.500, 0.500, 0.000)
Nd (0.500, 0.000, 0.500)
Nd (0.500, 0.500, 0.500)
Nd (0.000, 0.500, 0.500)
Mg (0.000, 0.000, 0.500)
Se (0.251, 0.502, 0.253)
Se (0.749, 0.498, 0.747)
Se (0.762, 0.525, 0.264)
Se (0.238, 0.475, 0.736)
Se (0.762, 0.002, 0.264)
Se (0.238, 0.998, 0.736)
Se (0.239, 0.002, 0.264)
Se (0.761, 0.998, 0.736)

***

# 4
## PrNdMgSi (PBE)

Data for PrNdMgSi after structural relaxation.

The space group is No. 216. The total energy comes out at -4.42 eV per atom. The uncorrected formation energy comes out at -0.28 eV/atom.

Cell: 5.272 5.272 5.272 Å, 60.00 60.00 60.00°
Element x y z (fractional)
Pr (0.000, 0.000, 0.000)
Si (0.250, 0.250, 0.250)
Nd (0.500, 0.500, 0.500)
Mg (0.750, 0.750, 0.750)

***

# 5
## PrNd6Sm2Mg (PBE)

Data for PrNd6Sm2Mg after structural relaxation.

The space group is No. 15. For the formation energy, the calculation gives 107 meV/atom. The total energy comes out at -4.33 eV per atom.

Cell: 9.294 9.124 9.124 Å, 117.82 91.28 91.28°
Element x y z (fractional)
Pr (0.250, 0.974, 0.026)
Pr (0.750, 0.026, 0.974)
Nd (0.056, 0.140, 0.785)
Nd (0.444, 0.215, 0.860)
Nd (0.944, 0.860, 0.215)
Nd (0.556, 0.785, 0.140)
Nd (0.293, 0.007, 0.431)
Nd (0.207, 0.569, 0.993)
Nd (0.707, 0.993, 0.569)
Nd (0.793, 0.431, 0.007)
Nd (0.099, 0.726, 0.495)
Nd (0.401, 0.505, 0.274)
Nd (0.901, 0.274, 0.505)
Nd (0.599, 0.495, 0.726)
Sm (0.447, 0.785, 0.673)
Sm (0.053, 0.327, 0.215)
Sm (0.553, 0.215, 0.327)
Sm (0.947, 0.673, 0.785)
Mg (0.250, 0.423, 0.577)
Mg (0.750, 0.577, 0.423)

***

# 6
## Pr3Nd6Sm2Mg (PBE)

Data for Pr3Nd6Sm2Mg after structural relaxation.

The space group is No. 12. For the formation energy, the calculation gives 21 meV/atom. The total energy comes out at -4.48 eV per atom.

Cell: 6.331 6.331 12.060 Å, 95.05 95.05 120.07°
Element x y z (fractional)
Pr (0.167, 0.833, 0.500)
Pr (0.833, 0.167, 0.500)
Pr (0.500, 0.500, 0.500)
Nd (0.919, 0.588, 0.755)
Nd (0.751, 0.751, 0.247)
Nd (0.081, 0.412, 0.245)
Nd (0.588, 0.919, 0.755)
Nd (0.249, 0.249, 0.753)
Nd (0.412, 0.081, 0.245)
Sm (0.333, 0.667, 0.000)
Sm (0.667, 0.333, 0.000)
Mg (0.000, 0.000, 0.000)

***

# 7
## Pr6Nd3Sm2Mg (PBE)

Data for Pr6Nd3Sm2Mg after structural relaxation.

The space group is No. 12. For the formation energy, the calculation gives 18 meV/atom. The total energy comes out at -4.48 eV per atom.

Cell: 6.350 6.350 12.065 Å, 95.06 95.06 120.07°
Element x y z (fractional)
Pr (0.919, 0.588, 0.754)
Pr (0.751, 0.751, 0.248)
Pr (0.081, 0.412, 0.246)
Pr (0.588, 0.919, 0.754)
Pr (0.249, 0.249, 0.752)
Pr (0.412, 0.081, 0.246)
Nd (0.167, 0.833, 0.500)
Nd (0.833, 0.167, 0.500)
Nd (0.500, 0.500, 0.500)
Sm (0.333, 0.667, 0.000)
Sm (0.667, 0.333, 0.000)
Mg (0.000, 0.000, 0.000)

***

# 8
## Pr4Nd2SmMg (PBE)

Data for Pr4Nd2SmMg after structural relaxation.

The space group is No. 47. For the formation energy, the calculation gives 3 meV/atom. The total energy comes out at -4.37 eV per atom.

Cell: 5.125 5.136 11.533 Å, 63.58 90.00 90.00°
Element x y z (fractional)
Pr (0.000, 0.746, 0.754)
Pr (0.000, 0.254, 0.246)
Pr (0.500, 0.753, 0.246)
Pr (0.500, 0.247, 0.754)
Nd (0.000, 0.000, 0.000)
Nd (0.500, 0.000, 0.500)
Sm (0.000, 0.500, 0.500)
Mg (0.500, 0.500, 0.000)

***

# 9
## Pr2Nd6SmMg (PBE)

Data for Pr2Nd6SmMg after structural relaxation.

The space group is No. 15. For the formation energy, the calculation gives 105 meV/atom. The total energy comes out at -4.34 eV per atom.

Cell: 9.333 9.147 9.147 Å, 118.06 91.68 91.68°
Element x y z (fractional)
Pr (0.449, 0.785, 0.674)
Pr (0.051, 0.326, 0.215)
Pr (0.551, 0.215, 0.326)
Pr (0.949, 0.674, 0.785)
Nd (0.055, 0.141, 0.784)
Nd (0.445, 0.216, 0.859)
Nd (0.945, 0.859, 0.216)
Nd (0.555, 0.784, 0.141)
Nd (0.292, 0.005, 0.426)
Nd (0.208, 0.574, 0.995)
Nd (0.708, 0.995, 0.574)
Nd (0.792, 0.426, 0.005)
Nd (0.100, 0.727, 0.498)
Nd (0.400, 0.502, 0.273)
Nd (0.900, 0.273, 0.502)
Nd (0.600, 0.498, 0.727)
Sm (0.250, 0.976, 0.024)
Sm (0.750, 0.024, 0.976)
Mg (0.250, 0.421, 0.579)
Mg (0.750, 0.579, 0.421)

***

no.,V (Å³ per atom)
1,29.97
2,29.67
3,28.37
4,25.90
5,34.18
6,34.31
7,34.53
8,33.98
9,34.40